No. 1
# YPu2Al

YPu2Al after structural relaxation (PBE, Alexandria via LeMat-Bulk).

```
YPu2Al
1.0
1.675 0.967 10.843
-1.675 0.967 10.843
0.000 -1.934 10.843
Y Pu Al
1 2 1
Direct
0.000 0.000 0.000 Y
0.242 0.242 0.242 Pu
0.758 0.758 0.758 Pu
0.500 0.500 0.500 Al
```

Properties
The value obtained for the density of states at the Fermi level is 14.54 states/eV per cell. Its total DFT energy (no corrections) is -0.703 Ry/atom. The formation energy is 3.67 kcal/mol of atoms. Its space group is No. 166.



No. 2
# Ho2NpScSb4

Ho2NpScSb4 after structural relaxation (PBE, Alexandria via LeMat-Bulk).

```
Ho2NpScSb4
1.0
7.487 0.000 0.000
0.000 4.326 0.000
-2.477 0.000 7.080
Ho Np Sc Sb
2 1 1 4
Direct
0.000 0.000 0.000 Ho
0.500 0.500 0.000 Ho
0.000 0.500 0.500 Np
0.500 0.000 0.500 Sc
0.256 0.000 0.747 Sb
0.259 0.500 0.259 Sb
0.741 0.500 0.741 Sb
0.744 0.000 0.253 Sb
```

Properties
The value obtained for the density of states at the Fermi level is 11.76 states/eV per cell. Its total DFT energy (no corrections) is -0.473 Ry/atom. Its space group is No. 10. Its raw formation energy is -0.819 eV/atom.



No. 3
# TlCuAsS3

TlCuAsS3 after structural relaxation (PBE, Alexandria via LeMat-Bulk).

```
TlCuAsS3
1.0
1.878 -6.694 0.000
1.878 6.694 0.000
0.000 0.000 10.050
Tl Cu As S
2 2 2 6
Direct
0.224 0.776 0.750 Tl
0.776 0.224 0.250 Tl
0.090 0.910 0.250 Cu
0.910 0.090 0.750 Cu
0.500 0.500 0.000 As
0.500 0.500 0.500 As
0.128 0.872 0.031 S
0.128 0.872 0.469 S
0.479 0.521 0.250 S
0.521 0.479 0.750 S
0.872 0.128 0.531 S
0.872 0.128 0.969 S
```

Properties
The value obtained for the density of states at the Fermi level is 6.25 states/eV per cell. Its total DFT energy (no corrections) is -0.297 Ry/atom. Its space group is No. 63. Its raw formation energy is -0.129 eV/atom.



No. 4
# TbNd2Ho2Er2

TbNd2Ho2Er2 after structural relaxation (PBE, Alexandria via LeMat-Bulk).

```
TbNd2Ho2Er2
1.0
5.851 -1.756 0.000
5.851 1.756 0.000
-3.886 0.000 11.154
Tb Nd Ho Er
1 2 2 2
Direct
0.000 0.000 0.000 Tb
0.329 0.329 0.415 Nd
0.671 0.671 0.585 Nd
0.450 0.450 0.731 Ho
0.550 0.550 0.269 Ho
0.226 0.226 0.864 Er
0.774 0.774 0.136 Er
```

Properties
The value obtained for the density of states at the Fermi level is 11.56 states/eV per cell. Its total DFT energy (no corrections) is -0.334 Ry/atom. The formation energy is 1.98 kcal/mol of atoms. Its space group is No. 12.